# 1
Ga2Sn2Hg: PBEsol geometry, meta-GGA SCAN.

Calculated values
The excess energy over the best structure of this formula in the dataset comes out at 35 meV per atom. As for the energy relative to the elements: 160 meV/atom. For the energy, the calculation gives -343.80 eV/cell. As for the space-group type: No. 127.

Cell lengths 8.340, 8.340, 3.305 Å; angles 90.00, 90.00, 90.00 degrees
Atoms (fractional coordinates):
Ga: 0.137 0.363 0.000
Ga: 0.363 0.863 0.000
Ga: 0.637 0.137 0.000
Ga: 0.863 0.637 0.000
Sn: 0.160 0.660 0.500
Sn: 0.340 0.160 0.500
Sn: 0.660 0.840 0.500
Sn: 0.840 0.340 0.500
Hg: 0.000 0.000 0.500
Hg: 0.500 0.500 0.500

***

# 2
TaGa2HgW: PBEsol geometry, meta-GGA SCAN.

Calculated values
As for the energy relative to the elements: 1282 meV/atom. For the energy, the calculation gives -230.72 eV/cell. As for the space-group type: No. 123.

Cell lengths 4.992, 4.992, 4.790 Å; angles 90.00, 90.00, 90.00 degrees
Atoms (fractional coordinates):
Ta: 0.000 0.000 0.000
Ga: 0.000 0.500 0.000
Ga: 0.500 0.000 0.000
Hg: 0.500 0.500 0.500
W: 0.000 0.000 0.500

***

# 3
GaTc3Hg: PBEsol geometry, meta-GGA SCAN.

Calculated values
As for the energy relative to the elements: 2429 meV/atom. For the energy, the calculation gives -177.55 eV/cell. As for the space-group type: No. 221.

Cell lengths 4.874, 4.874, 4.874 Å; angles 90.00, 90.00, 90.00 degrees
Atoms (fractional coordinates):
Ga: 0.000 0.000 0.000
Tc: 0.000 0.500 0.500
Tc: 0.500 0.000 0.500
Tc: 0.500 0.500 0.000
Hg: 0.500 0.500 0.500

***

# 4
GaHgTe2: PBEsol geometry, meta-GGA SCAN.

Calculated values
For the energy, the calculation gives -475.29 eV/cell. As for the space-group type: No. 166.

Cell lengths 3.133, 3.133, 36.699 Å; angles 90.00, 90.00, 120.00 degrees
Atoms (fractional coordinates):
Ga: 0.000 0.000 0.000
Ga: 0.333 0.667 0.667
Ga: 0.667 0.333 0.333
Hg: 0.000 0.000 0.500
Hg: 0.333 0.667 0.167
Hg: 0.667 0.333 0.833
Te: 0.000 0.000 0.077
Te: 0.000 0.000 0.923
Te: 0.333 0.667 0.589
Te: 0.333 0.667 0.744
Te: 0.667 0.333 0.256
Te: 0.667 0.333 0.411

***

# 5
Ga2Hg2Te: PBEsol geometry, meta-GGA SCAN.

Calculated values
For the energy, the calculation gives -410.93 eV/cell. As for the space-group type: No. 139.

Cell lengths 4.355, 4.355, 12.382 Å; angles 90.00, 90.00, 90.00 degrees
Atoms (fractional coordinates):
Ga: 0.000 0.500 0.250
Ga: 0.000 0.500 0.750
Ga: 0.500 0.000 0.250
Ga: 0.500 0.000 0.750
Hg: 0.000 0.000 0.111
Hg: 0.000 0.000 0.889
Hg: 0.500 0.500 0.389
Hg: 0.500 0.500 0.611
Te: 0.000 0.000 0.500
Te: 0.500 0.500 0.000

***

# 6
Ga2Hg12Te15: PBEsol geometry, meta-GGA SCAN.

Calculated values
For the energy, the calculation gives -1414.96 eV/cell. As for the space-group type: No. 8.

Cell lengths 7.898, 7.898, 18.438 Å; angles 94.09, 94.09, 120.00 degrees
Atoms (fractional coordinates):
Ga: 0.167 0.833 0.000
Ga: 0.833 0.167 0.000
Hg: 0.038 0.370 0.608
Hg: 0.138 0.138 0.816
Hg: 0.222 0.564 0.194
Hg: 0.302 0.302 0.402
Hg: 0.370 0.038 0.608
Hg: 0.438 0.739 0.816
Hg: 0.564 0.222 0.194
Hg: 0.634 0.966 0.401
Hg: 0.702 0.702 0.610
Hg: 0.739 0.438 0.816
Hg: 0.908 0.908 0.194
Hg: 0.966 0.634 0.401
Te: 0.055 0.055 0.662
Te: 0.119 0.786 0.856
Te: 0.167 0.513 0.039
Te: 0.257 0.257 0.248
Te: 0.318 0.984 0.454
Te: 0.387 0.721 0.662
Te: 0.464 0.464 0.891
Te: 0.513 0.167 0.039
Te: 0.583 0.909 0.247
Te: 0.653 0.653 0.456
Te: 0.721 0.387 0.662
Te: 0.786 0.119 0.856
Te: 0.859 0.859 0.039
Te: 0.909 0.583 0.247
Te: 0.984 0.318 0.454

***

# 7
TiGa2HgTe: PBEsol geometry, meta-GGA SCAN.

Calculated values
For the energy, the calculation gives -150.50 eV/cell. As for the space-group type: No. 123.

Cell lengths 5.293, 5.293, 5.092 Å; angles 90.00, 90.00, 90.00 degrees
Atoms (fractional coordinates):
Ti: 0.000 0.000 0.000
Ga: 0.000 0.500 0.500
Ga: 0.500 0.000 0.500
Hg: 0.500 0.500 0.000
Te: 0.000 0.000 0.500

***

# 8
TlGa2Hg2: PBEsol geometry, meta-GGA SCAN.

Calculated values
The excess energy over the best structure of this formula in the dataset comes out at 0 meV per atom. As for the energy relative to the elements: 88 meV/atom. For the energy, the calculation gives -481.89 eV/cell. As for the space-group type: No. 139.

Cell lengths 4.146, 4.146, 13.330 Å; angles 90.00, 90.00, 90.00 degrees
Atoms (fractional coordinates):
Tl: 0.000 0.000 0.000
Tl: 0.500 0.500 0.500
Ga: 0.000 0.500 0.250
Ga: 0.000 0.500 0.750
Ga: 0.500 0.000 0.250
Ga: 0.500 0.000 0.750
Hg: 0.000 0.000 0.393
Hg: 0.000 0.000 0.607
Hg: 0.500 0.500 0.107
Hg: 0.500 0.500 0.893

***

Number 1: density of states at the Fermi level 0.43 states/eV per atom, size of the total moment 0.00 Bohr magnetons per cell. Number 2: density of states at the Fermi level 0.68 states/eV per atom, size of the total moment 1.41 Bohr magnetons per cell. Number 3: density of states at the Fermi level 1.11 states/eV per atom, size of the total moment 9.13 Bohr magnetons per cell. Number 4: density of states at the Fermi level 0.49 states/eV per atom, size of the total moment 0.00 Bohr magnetons per cell. Number 5: density of states at the Fermi level 0.26 states/eV per atom, size of the total moment 0.00 Bohr magnetons per cell. Number 6: density of states at the Fermi level 0.04 states/eV per atom, size of the total moment 0.00 Bohr magnetons per cell. Number 7: density of states at the Fermi level 0.71 states/eV per atom, size of the total moment 1.94 Bohr magnetons per cell. Number 8: density of states at the Fermi level 0.32 states/eV per atom, size of the total moment 0.00 Bohr magnetons per cell.